No. 1
The following is a DFT calculation (PBE-GGA) of a relaxed structure of CaIn2Br.

## Properties
Relative energy among the computed polymorphs, meV per atom: 69.2

The structure in CIF format:
```
data_CaIn2Br
_chemical_formula_sum 'Ca2 In4 Br2'
_symmetry_space_group_name_H-M 'C 1 2/m 1'
_symmetry_Int_Tables_number 12
_cell_length_a 13.405
_cell_length_b 3.792
_cell_length_c 4.725
_cell_angle_alpha 90.00
_cell_angle_beta 95.60
_cell_angle_gamma 90.00
loop_
_symmetry_equiv_pos_as_xyz
'x,y,z'
'-x,-y,-z'
'-x,y,-z'
'x,-y,z'
'x+1/2,y+1/2,z'
'-x+1/2,-y+1/2,-z'
'-x+1/2,y+1/2,-z'
'x+1/2,-y+1/2,z'
loop_
_atom_site_label
_atom_site_type_symbol
_atom_site_fract_x
_atom_site_fract_y
_atom_site_fract_z
Ca1 Ca 0.000 0.000 0.000
In1 In 0.233 0.500 0.236
Br1 Br 0.000 0.500 0.500
```

***

No. 2
The following is a DFT calculation (PBE-GGA) of a relaxed structure of CaInBr3.

The structure in CIF format:
```
data_CaInBr3
_chemical_formula_sum 'Ca1 In1 Br3'
_symmetry_space_group_name_H-M 'P m -3 m'
_symmetry_Int_Tables_number 221
_symmetry_space_group_name_Hall '-P 4 2 3'
_cell_length_a 5.734
_cell_length_b 5.734
_cell_length_c 5.734
_cell_angle_alpha 90.00
_cell_angle_beta 90.00
_cell_angle_gamma 90.00
loop_
_atom_site_label
_atom_site_type_symbol
_atom_site_fract_x
_atom_site_fract_y
_atom_site_fract_z
Ca1 Ca 0.000 0.000 0.000
In1 In 0.500 0.500 0.500
Br1 Br 0.000 0.500 0.500
```

***

No. 3
The following is a DFT calculation (PBE-GGA) of a relaxed structure of Ca2InBr.

## Properties
Relative energy among the computed polymorphs, meV per atom: 112.3

The structure in CIF format:
```
data_Ca2InBr
_chemical_formula_sum 'Ca2 In1 Br1'
_symmetry_space_group_name_H-M 'P 4 m m'
_symmetry_Int_Tables_number 99
_cell_length_a 4.445
_cell_length_b 4.445
_cell_length_c 6.446
_cell_angle_alpha 90.00
_cell_angle_beta 90.00
_cell_angle_gamma 90.00
loop_
_symmetry_equiv_pos_as_xyz
'x,y,z'
'-y,x,z'
'-x,-y,z'
'y,-x,z'
'-x,y,z'
'y,x,z'
'x,-y,z'
'-y,-x,z'
loop_
_atom_site_label
_atom_site_type_symbol
_atom_site_fract_x
_atom_site_fract_y
_atom_site_fract_z
Ca1 Ca 0.000 0.000 0.000
Ca2 Ca 0.500 0.500 0.499
In1 In 0.500 0.500 0.999
Br1 Br 0.000 0.000 0.499
```

***

No. 4
The following is a DFT calculation (PBE-GGA) of a relaxed structure of Ca3In5Br12.

## Properties
Relative energy among the computed polymorphs, meV per atom: 175.8

The structure in CIF format:
```
data_Ca3In5Br12
_chemical_formula_sum 'Ca24 In40 Br96'
_symmetry_space_group_name_H-M 'I a -3 d'
_symmetry_Int_Tables_number 230
_symmetry_space_group_name_Hall '-I 4bd 2c 3'
_cell_length_a 18.150
_cell_length_b 18.150
_cell_length_c 18.150
_cell_angle_alpha 90.00
_cell_angle_beta 90.00
_cell_angle_gamma 90.00
loop_
_atom_site_label
_atom_site_type_symbol
_atom_site_fract_x
_atom_site_fract_y
_atom_site_fract_z
Ca1 Ca 0.000 0.250 0.125
In1 In 0.000 0.000 0.000
In2 In 0.000 0.250 0.375
Br1 Br 0.020 0.086 0.647
```

***

No. 5
The following is a DFT calculation (PBE-GGA) of a relaxed structure of CaIn2Br.

## Properties
Relative energy among the computed polymorphs, meV per atom: 248.9

The structure in CIF format:
```
data_CaIn2Br
_chemical_formula_sum 'Ca2 In4 Br2'
_symmetry_space_group_name_H-M 'C m m m'
_symmetry_Int_Tables_number 65
_symmetry_space_group_name_Hall '-C 2 2'
_cell_length_a 6.267
_cell_length_b 10.334
_cell_length_c 3.652
_cell_angle_alpha 90.00
_cell_angle_beta 90.00
_cell_angle_gamma 90.00
loop_
_atom_site_label
_atom_site_type_symbol
_atom_site_fract_x
_atom_site_fract_y
_atom_site_fract_z
Ca1 Ca 0.000 0.000 0.000
In1 In 0.250 0.250 0.500
Br1 Br 0.000 0.500 0.000
```

***

No. 6
The following is a DFT calculation (PBE-GGA) of a relaxed structure of CaIn2Br2.

## Properties
Relative energy among the computed polymorphs, meV per atom: 33.4

The structure in CIF format:
```
data_CaIn2Br2
_chemical_formula_sum 'Ca2 In4 Br4'
_symmetry_space_group_name_H-M 'P 4/m b m'
_symmetry_Int_Tables_number 127
_symmetry_space_group_name_Hall '-P 4 2ab'
_cell_length_a 7.504
_cell_length_b 7.504
_cell_length_c 5.976
_cell_angle_alpha 90.00
_cell_angle_beta 90.00
_cell_angle_gamma 90.00
loop_
_atom_site_label
_atom_site_type_symbol
_atom_site_fract_x
_atom_site_fract_y
_atom_site_fract_z
Ca1 Ca 0.000 0.000 0.000
In1 In 0.179 0.321 0.500
Br1 Br 0.170 0.670 0.000
```

***

No. 7
The following is a DFT calculation (PBE-GGA) of a relaxed structure of CaIn2Br.

## Properties
Relative energy among the computed polymorphs, meV per atom: 75.8

The structure in CIF format:
```
data_CaIn2Br
_chemical_formula_sum 'Ca1 In2 Br1'
_symmetry_space_group_name_H-M 'P m m m'
_symmetry_Int_Tables_number 47
_cell_length_a 3.755
_cell_length_b 4.816
_cell_length_c 6.476
_cell_angle_alpha 90.00
_cell_angle_beta 90.00
_cell_angle_gamma 90.00
loop_
_symmetry_equiv_pos_as_xyz
'x,y,z'
'-x,-y,-z'
'-x,-y,z'
'x,y,-z'
'x,-y,-z'
'-x,y,z'
'-x,y,-z'
'x,-y,z'
loop_
_atom_site_label
_atom_site_type_symbol
_atom_site_fract_x
_atom_site_fract_y
_atom_site_fract_z
Ca1 Ca 0.000 0.000 0.000
In1 In 0.000 0.500 0.500
In2 In 0.500 0.000 0.500
Br1 Br 0.500 0.500 0.000
```

***

No. 8
The following is a DFT calculation (PBE-GGA) of a relaxed structure of CaIn2Br.

## Properties
Relative energy among the computed polymorphs, meV per atom: 73.4

The structure in CIF format:
```
data_CaIn2Br
_chemical_formula_sum 'Ca2 In4 Br2'
_symmetry_space_group_name_H-M 'I m m m'
_symmetry_Int_Tables_number 71
_symmetry_space_group_name_Hall '-I 2 2'
_cell_length_a 3.555
_cell_length_b 4.703
_cell_length_c 14.656
_cell_angle_alpha 90.00
_cell_angle_beta 90.00
_cell_angle_gamma 90.00
loop_
_atom_site_label
_atom_site_type_symbol
_atom_site_fract_x
_atom_site_fract_y
_atom_site_fract_z
Ca1 Ca 0.000 0.000 0.000
In1 In 0.000 0.500 0.291
Br1 Br 0.000 0.000 0.500
```

***

No. 9
The following is a DFT calculation (PBE-GGA) of a relaxed structure of Ca2InBr.

## Properties
Relative energy among the computed polymorphs, meV per atom: 0.0

The structure in CIF format:
```
data_Ca2InBr
_chemical_formula_sum 'Ca2 In1 Br1'
_symmetry_space_group_name_H-M 'P m m m'
_symmetry_Int_Tables_number 47
_cell_length_a 3.748
_cell_length_b 3.922
_cell_length_c 8.605
_cell_angle_alpha 90.00
_cell_angle_beta 90.00
_cell_angle_gamma 90.00
loop_
_symmetry_equiv_pos_as_xyz
'x,y,z'
'-x,-y,-z'
'-x,-y,z'
'x,y,-z'
'x,-y,-z'
'-x,y,z'
'-x,y,-z'
'x,-y,z'
loop_
_atom_site_label
_atom_site_type_symbol
_atom_site_fract_x
_atom_site_fract_y
_atom_site_fract_z
Ca1 Ca 0.000 0.000 0.225
In1 In 0.500 0.500 0.000
Br1 Br 0.500 0.000 0.500
```

***

No. 10
The following is a DFT calculation (PBE-GGA) of a relaxed structure of Ca2InBr.

## Properties
Relative energy among the computed polymorphs, meV per atom: 351.5

The structure in CIF format:
```
data_Ca2InBr
_chemical_formula_sum 'Ca8 In4 Br4'
_symmetry_space_group_name_H-M 'F m -3 m'
_symmetry_Int_Tables_number 225
_symmetry_space_group_name_Hall '-F 4 2 3'
_cell_length_a 7.874
_cell_length_b 7.874
_cell_length_c 7.874
_cell_angle_alpha 90.00
_cell_angle_beta 90.00
_cell_angle_gamma 90.00
loop_
_atom_site_label
_atom_site_type_symbol
_atom_site_fract_x
_atom_site_fract_y
_atom_site_fract_z
Ca1 Ca 0.250 0.250 0.250
In1 In 0.000 0.000 0.000
Br1 Br 0.000 0.000 0.500
```

***

No. 11
The following is a DFT calculation (PBE-GGA) of a relaxed structure of Ca2InBr.

## Properties
Relative energy among the computed polymorphs, meV per atom: 257.9

The structure in CIF format:
```
data_Ca2InBr
_chemical_formula_sum 'Ca4 In2 Br2'
_symmetry_space_group_name_H-M 'I m m m'
_symmetry_Int_Tables_number 71
_symmetry_space_group_name_Hall '-I 2 2'
_cell_length_a 4.229
_cell_length_b 6.537
_cell_length_c 9.179
_cell_angle_alpha 90.00
_cell_angle_beta 90.00
_cell_angle_gamma 90.00
loop_
_atom_site_label
_atom_site_type_symbol
_atom_site_fract_x
_atom_site_fract_y
_atom_site_fract_z
Ca1 Ca 0.000 0.000 0.225
In1 In 0.000 0.500 0.000
Br1 Br 0.000 0.500 0.500
```

***

no.,calculated volume (Å³/cell),ΔE_f (raw) (eV per formula unit)
1,239.0,-2.4
2,188.5,-3.7
3,127.4,-3.3
4,5979.2,-21.8
5,236.5,-1.7
6,336.5,-3.9
7,117.1,-2.4
8,245.0,-2.4
9,126.5,-3.8
10,488.3,-2.4
11,253.7,-2.7